[1]
This record from OQMD describes crystalline Cu3N at its relaxed geometry. The functional is GGA-PBE.

Energy ... -4.44 eV/atom
Space-group type ... P2_13, No. 198

Cell: 6.1976 6.1976 6.1976 Å, 90.00 90.00 90.00°
Element x y z (fractional)
Cu 0.1230 0.7900 0.0408
Cu 0.7900 0.0408 0.1230
Cu 0.5408 0.3770 0.2100
Cu 0.4592 0.8770 0.2900
Cu 0.2100 0.5408 0.3770
Cu 0.8770 0.2900 0.4592
Cu 0.3770 0.2100 0.5408
Cu 0.7100 0.9592 0.6230
Cu 0.9592 0.6230 0.7100
Cu 0.0408 0.1230 0.7900
Cu 0.2900 0.4592 0.8770
Cu 0.6230 0.7100 0.9592
N 0.3735 0.6265 0.1265
N 0.6265 0.1265 0.3735
N 0.1265 0.3735 0.6265
N 0.8735 0.8735 0.8735

[2]
This record from OQMD describes crystalline Sm2Cd2Se2O3 at its relaxed geometry. The functional is GGA-PBE.

Energy ... -5.57 eV/atom
Space-group type ... I4/mmm, No. 139

Cell: 9.5867 9.5867 9.5867 Å, 154.21 154.21 36.79°
Element x y z (fractional)
Cd 0.5000 0.0000 0.5000
Cd 0.0000 0.5000 0.5000
O 0.5000 0.5000 0.0000
O 0.7500 0.2500 0.5000
O 0.2500 0.7500 0.5000
Se 0.1101 0.1101 0.0000
Se 0.8899 0.8899 0.0000
Sm 0.3049 0.3049 0.0000
Sm 0.6951 0.6951 0.0000